Density functional theory data (PBE-GGA) for a relaxed structure of BaPdPtO3.

Properties
E_tot   -5.451 eV per atom
V   90.6 Å³/f.u.
Space-group type   No. 44

Cell and atoms, written as POSCAR:
```
BaPdPtO3
1.0
-1.824 2.015 6.166
1.824 -2.015 6.166
1.824 2.015 -6.166
Ba O Pd Pt
1 3 1 1
Cartesian
0.000 0.000 6.204
0.000 0.000 12.317
0.000 2.015 2.301
1.824 0.000 3.784
0.000 0.000 2.127
0.000 0.000 10.261
```